Computed, not measured: Ta2VTe4Se2 after structural relaxation at the GGA-PBE level of DFT.

The calculation puts the density of states at the Fermi level at 7.45 states/eV/cell. The value obtained for the uncorrected formation energy is -0.41 eV/atom.

abc: 3.591 3.591 22.249
angles: 90.00 90.00 120.00
Site moments in Bohr magnetons follow the coordinates.
Positions (direct):
Ta: 0.000 0.000 0.982  0.19
Ta: 0.667 0.333 0.646  0.15
V: 0.000 0.000 0.331  1.22
Te: 0.000 0.000 0.561  0.01
Te: 0.667 0.333 0.067  0.01
Te: 0.667 0.333 0.898  0.01
Te: 0.000 0.000 0.730  0.01
Se: 0.667 0.333 0.400  -0.11
Se: 0.667 0.333 0.262  -0.11

---

Computed, not measured: LiTc2RuAu after structural relaxation at the GGA-PBE level of DFT.

The formation energy is 1.935 eV per atom. The calculation puts the density of states at the Fermi level at 12.23 states/eV/cell. As for the relative energy among the computed polymorphs: 806 meV per atom.

abc: 4.823 4.085 4.823
angles: 90.00 90.00 90.00
Positions (direct):
Ru: 0.500 0.500 0.500
Au: 0.000 0.000 0.000
Tc: 0.000 0.000 0.500
Tc: 0.500 0.000 0.000
Li: 0.000 0.500 0.000

---

Computed, not measured: MgSc2Ti2 after structural relaxation at the GGA-PBE level of DFT.

The formation energy is 0.283 eV per atom. The calculation puts the density of states at the Fermi level at 9.66 states/eV/cell. As for the relative energy among the computed polymorphs: 91 meV per atom.

abc: 8.107 8.107 3.224
angles: 90.00 90.00 90.00
Positions (direct):
Sc: 0.370 0.870 0.000
Sc: 0.870 0.630 0.000
Sc: 0.630 0.130 0.000
Sc: 0.130 0.370 0.000
Mg: 0.000 0.000 0.000
Mg: 0.500 0.500 0.000
Ti: 0.168 0.668 0.500
Ti: 0.668 0.832 0.500
Ti: 0.832 0.332 0.500
Ti: 0.332 0.168 0.500

---

Going through the records in order, we get total DFT energy (no corrections) values of -6.226 -5.104 -5.726 eV per atom.